Record 1
Computed, not measured: crystalline Nb2CoNi3 at its relaxed geometry at the PBE level of DFT.

Lattice parameters (Å, degrees): 4.7931 4.7931 7.8581 90.00 90.00 120.00
Sites, in units of the cell vectors:
Nb: 0.6667 0.3333 0.4403
Nb: 0.6667 0.3333 0.0597
Co: 0.0000 0.0000 0.5000
Co: 0.0000 0.0000 0.0000
Ni: 0.8319 0.1681 0.7500
Ni: 0.3362 0.1681 0.7500
Ni: 0.8319 0.6638 0.7500
Ni: 0.1681 0.8319 0.2500
Ni: 0.1681 0.3362 0.2500
Nb: 0.3333 0.6667 0.9403
Ni: 0.6638 0.8319 0.2500
Nb: 0.3333 0.6667 0.5597

## Properties
Total moment   2.34 μB per cell
Density of states at the Fermi level   16.7 states/eV per cell
Formation energy   -0.177 eV/atom

=====

Record 2
Computed, not measured: crystalline NbCoNi2 at its relaxed geometry at the PBE level of DFT.

Lattice parameters (Å, degrees): 3.5077 3.5077 9.0127 78.78 78.78 90.00
Sites, in units of the cell vectors:
Nb: 0.0000 0.0000 0.0000
Ni: 0.6003 0.1250 0.2500
Co: 0.5000 0.5000 0.0000
Ni: 0.1497 0.6250 0.2500
Ni: 0.8750 0.8503 0.7500
Co: 0.2500 0.7500 0.5000
Ni: 0.3750 0.3997 0.7500
Nb: 0.7500 0.2500 0.5000

## Properties
Total moment   0.00 μB per cell
Density of states at the Fermi level   8.8 states/eV per cell
Formation energy   0.209 eV/atom